Here is a geometry-optimized Cs2BaAs2O6 structure from Alexandria. Energies are from PBE.

Computed properties:
space group: C2/m (12)

a b c (Å): 6.548 6.586 7.717
angles (deg): 117.76 90.00 119.81
Atoms (fractional coordinates):
O 0.776 0.552 0.681
O 0.764 0.964 0.234
As 0.954 0.908 0.812
As 0.046 0.092 0.188
Cs 0.284 0.567 0.806
Ba 0.500 0.000 0.500
O 0.200 0.964 0.234
O 0.224 0.448 0.319
Cs 0.716 0.433 0.194
O 0.236 0.036 0.766
O 0.800 0.036 0.766

=====

Here is a geometry-optimized Al2BiCl structure from Alexandria. Energies are from PBE.

Computed properties:
space group: I-42d (122)
energy above the most stable polymorph in this dataset: 113.5 meV/atom

a b c (Å): 5.223 5.223 8.871
angles (deg): 72.88 72.88 90.00
Atoms (fractional coordinates):
Al 0.375 0.451 0.750
Bi 0.750 0.250 0.500
Al 0.549 0.125 0.250
Bi 0.000 0.000 0.000
Al 0.201 0.625 0.250
Al 0.875 0.799 0.750
Cl 0.250 0.750 0.500
Cl 0.500 0.500 0.000

=====

Here is a geometry-optimized LiBiS2 structure from Alexandria. Energies are from PBE.

Computed properties:
space group: R3m (160)

a b c (Å): 3.957 3.957 7.207
angles (deg): 74.07 74.07 60.00
Atoms (fractional coordinates):
S 0.089 0.089 0.732
S 0.258 0.258 0.227
Bi 0.669 0.669 0.992
Li 0.484 0.484 0.549

=====

| no. | formation energy without anion corrections (kJ per mole of atoms) | calculated total energy (eV per atom) |
| --- | --- | --- |
| 1 | -175 | -5.696 |
| 2 | 12 | -3.183 |
| 3 | -66 | -4.200 |